1.
Crystalline Ba2NaIrS6 at its relaxed geometry, computed with PBE.

Values from the calculation:
Its crystal system is tetragonal. Its energy relative to the lowest polymorph listed for this composition is 45 meV/atom.

abc: 6.9883 6.9883 6.9883
angles: 120.02 120.02 89.97
With the nearest neighbours (Å) after each atom.
Element x y z (fractional)
Ba1 0.2500 0.7500 0.5000  12 S 3.46-3.54
Ba2 0.7500 0.2500 0.5000  12 S 3.46-3.54
Na1 0.0000 0.0000 0.0000  6 S 2.59
Ir1 0.5000 0.5000 0.0000  6 S 2.35
S1 0.2567 0.2681 0.5248  1 Ir 2.35, 1 Na 2.59
S2 0.2625 0.2625 0.0000  1 Ir 2.35, 1 Na 2.59
S3 0.2681 0.7433 0.0113  1 Ir 2.35, 1 Na 2.59
S4 0.7319 0.2567 0.9887  1 Ir 2.35, 1 Na 2.59
S5 0.7375 0.7375 0.0000  1 Ir 2.35, 1 Na 2.59
S6 0.7433 0.7319 0.4752  1 Ir 2.35, 1 Na 2.59

***

2.
Crystalline Ba2NaIrS6 at its relaxed geometry, computed with PBE.

Values from the calculation:
Its crystal system is monoclinic. Its energy relative to the lowest polymorph listed for this composition is 44 meV/atom.

abc: 6.9873 6.9873 7.0411
angles: 120.24 120.24 59.53
With the nearest neighbours (Å) after each atom.
Element x y z (fractional)
Ba1 0.2499 0.2499 0.2482  12 S 3.45-3.60
Ba2 0.7501 0.7501 0.7518  12 S 3.45-3.60
Na1 0.5000 0.5000 0.0000  6 S 2.59-2.60
Ir1 0.0000 0.0000 0.5000  6 S 2.35
S1 0.2333 0.7571 0.7321  1 Ir 2.35, 1 Na 2.60
S2 0.2375 0.2375 0.7465  1 Ir 2.35, 1 Na 2.59
S3 0.2429 0.7667 0.2679  1 Ir 2.35, 1 Na 2.60
S4 0.7571 0.2333 0.7321  1 Ir 2.35, 1 Na 2.60
S5 0.7625 0.7625 0.2535  1 Ir 2.35, 1 Na 2.59
S6 0.7667 0.2429 0.2679  1 Ir 2.35, 1 Na 2.60

***

3.
Crystalline Ba2NaIrSe6 at its relaxed geometry, computed with PBE.

Values from the calculation:
Its crystal system is triclinic. Its energy relative to the lowest polymorph listed for this composition is 0 meV/atom.

abc: 6.1126 7.4138 7.4381
angles: 70.49 65.77 65.84
With the nearest neighbours (Å) after each atom.
Element x y z (fractional)
Ba1 0.2439 0.2379 0.2744  5 Se 3.13-3.32
Ba2 0.7561 0.7621 0.7256  5 Se 3.13-3.32
Na1 0.0000 0.0000 0.0000  6 Se 2.87-2.94
Ir1 0.5000 0.5000 0.5000  6 Se 2.51-2.56
Se1 0.2040 0.3265 0.7831  1 Ir 2.52
Se2 0.2691 0.8266 0.6356  1 Ir 2.56
Se3 0.3179 0.6745 0.2154  1 Ir 2.51
Se4 0.6821 0.3255 0.7846  1 Ir 2.51
Se5 0.7309 0.1734 0.3644  1 Ir 2.56
Se6 0.7960 0.6735 0.2169  1 Ir 2.52